(1)
Below is an optimized crystal structure of Ca2ZnPtC, with properties calculated at the PBE level.

magnetization: 0.00 μB per formula unit
calculated formation energy: -0.31 eV/atom
theoretical density: 5.7 g/cm³

a b c (Å): 5.157 5.157 3.881
angles (deg): 90.00 90.00 90.00
Sites, in units of the cell vectors:
Ca 0.000 0.500 0.000
Ca 0.500 0.000 0.000
Zn 0.000 0.000 0.500
Pt 0.500 0.500 0.500
C 0.500 0.500 0.000

=====

(2)
Below is an optimized crystal structure of RbCa3C, with properties calculated at the PBE level.

magnetization: 0.79 μB per formula unit
E above lowest polymorph: 0 meV/atom
calculated formation energy: 0.43 eV/atom
theoretical density: 2.3 g/cm³

a b c (Å): 5.429 5.429 5.429
angles (deg): 90.00 90.00 90.00
Sites, in units of the cell vectors:
Rb 0.000 0.000 0.000
Ca 0.000 0.500 0.500
Ca 0.500 0.000 0.500
Ca 0.500 0.500 0.000
C 0.500 0.500 0.500

=====

(3)
Below is an optimized crystal structure of RbCa3C, with properties calculated at the PBE level.

magnetization: 0.00 μB per formula unit
E above lowest polymorph: 1984 meV/atom
calculated formation energy: 2.41 eV/atom
theoretical density: 1.7 g/cm³

a b c (Å): 6.000 6.000 6.000
angles (deg): 90.00 90.00 90.00
Sites, in units of the cell vectors:
Rb 0.000 0.000 0.000
Ca 0.000 0.000 0.500
Ca 0.000 0.500 0.000
Ca 0.500 0.000 0.000
C 0.500 0.500 0.500

=====

(4)
Below is an optimized crystal structure of RbCaC3, with properties calculated at the PBE level.

magnetization: 1.76 μB per formula unit
calculated formation energy: 3.47 eV/atom
theoretical density: 2.8 g/cm³

a b c (Å): 4.603 4.603 4.603
angles (deg): 90.00 90.00 90.00
Sites, in units of the cell vectors:
Rb 0.000 0.000 0.000
Ca 0.500 0.500 0.500
C 0.000 0.000 0.500
C 0.000 0.500 0.000
C 0.500 0.000 0.000

=====

(5)
Below is an optimized crystal structure of Rb3CaC, with properties calculated at the PBE level.

magnetization: 1.35 μB per formula unit
E above lowest polymorph: 0 meV/atom
calculated formation energy: 1.03 eV/atom
theoretical density: 1.9 g/cm³

a b c (Å): 6.405 6.405 6.405
angles (deg): 90.00 90.00 90.00
Sites, in units of the cell vectors:
Rb 0.000 0.000 0.500
Rb 0.000 0.500 0.000
Rb 0.500 0.000 0.000
Ca 0.500 0.500 0.500
C 0.000 0.000 0.000

=====

(6)
Below is an optimized crystal structure of RbCaSc2C, with properties calculated at the PBE level.

magnetization: 0.00 μB per formula unit
calculated formation energy: 0.42 eV/atom
theoretical density: 2.9 g/cm³

a b c (Å): 4.771 4.771 5.633
angles (deg): 90.00 90.00 90.00
Sites, in units of the cell vectors:
Rb 0.000 0.000 0.000
Ca 0.500 0.500 0.000
Sc 0.000 0.500 0.500
Sc 0.500 0.000 0.500
C 0.500 0.500 0.500

=====

One value per record, in order, for electronic total energy: -4.42 -2.81 -0.83 -2.65 -1.80 -4.55 eV/atom.
One value per record, in order, for DOS at the Fermi energy: 0.397 0.725 1.294 0.929 0.669 1.195 states/eV/atom.